[1]
Here is an optimized crystal structure of Sr3AgF7 from Alexandria via LeMat-Bulk. Energies are from PBE-GGA.

The structure belongs to space group Cmcm (No. 63); the cell edges are 11.159, 8.448 and 8.181 Å and the angles 90.00°, 90.00° and 90.00°. The distinct sites, in fractional coordinates, are Sr at (0.000, 0.000, 0.000), Sr at (0.220, 0.290, 0.250), Ag at (0.000, 0.500, 0.000), F at (0.000, 0.375, 0.250), F at (0.130, 0.249, 0.531) and F at (0.140, 0.022, 0.250).

The calculation puts the volume at 17.5 A^3/atom. The formation energy (no corrections) is -320.3 kJ/mol of atoms.

***

[2]
Here is an optimized crystal structure of SrAg5F8 from Alexandria via LeMat-Bulk. Energies are from PBE-GGA.

The structure belongs to space group I-4 (No. 82); the cell edges are 7.722, 7.722 and 7.526 Å and the angles 90.00°, 90.00° and 90.00°. The distinct sites, in fractional coordinates, are Sr at (0.000, 0.000, 0.000), Ag at (0.000, 0.500, 0.250), Ag at (0.006, 0.747, 0.592), F at (0.002, 0.800, 0.290) and F at (0.006, 0.701, 0.896).

The calculation puts the volume at 16.0 A^3/atom. The formation energy (no corrections) is -156.0 kJ/mol of atoms.

***

[3]
Here is an optimized crystal structure of SrAg2F from Alexandria via LeMat-Bulk. Energies are from PBE-GGA.

The structure belongs to space group I-42d (No. 122); the cell edges are 3.782, 3.782 and 24.820 Å and the angles 90.00°, 90.00° and 90.00°. The distinct sites, in fractional coordinates, are Sr at (0.000, 0.000, 0.000), Ag at (0.249, 0.250, 0.625) and F at (0.000, 0.000, 0.500).

The calculation puts the volume at 22.2 A^3/atom. The calculation puts the energy relative to the lowest polymorph listed for this composition at 0.0 meV/atom. The formation energy (no corrections) is -122.4 kJ/mol of atoms.

***

[4]
Here is an optimized crystal structure of SrAg2F from Alexandria via LeMat-Bulk. Energies are from PBE-GGA.

The structure belongs to space group Fm-3m (No. 225); the cell edges are 7.252, 7.252 and 7.252 Å and the angles 90.00°, 90.00° and 90.00°. The distinct sites, in fractional coordinates, are Sr at (0.000, 0.000, 0.000), Ag at (0.250, 0.250, 0.250) and F at (0.000, 0.000, 0.500).

The calculation puts the volume at 23.8 A^3/atom. The calculation puts the energy relative to the lowest polymorph listed for this composition at 833.7 meV/atom. The formation energy (no corrections) is -41.9 kJ/mol of atoms.

***

[5]
Here is an optimized crystal structure of SrAg3F6 from Alexandria via LeMat-Bulk. Energies are from PBE-GGA.

The structure belongs to space group Cmmm (No. 65); the cell edges are 7.669, 11.640 and 3.966 Å and the angles 90.00°, 90.00° and 90.00°. The distinct sites, in fractional coordinates, are Sr at (0.000, 0.000, 0.000), Ag at (0.000, 0.500, 0.000), Ag at (0.250, 0.250, 0.500), F at (0.000, 0.129, 0.500) and F at (0.212, 0.379, 0.000).

The calculation puts the volume at 17.7 A^3/atom. The formation energy (no corrections) is -183.9 kJ/mol of atoms.

***

[6]
Here is an optimized crystal structure of Sr2AgF6 from Alexandria via LeMat-Bulk. Energies are from PBE-GGA.

The structure belongs to space group Immm (No. 71); the cell edges are 4.028, 5.736 and 12.342 Å and the angles 90.00°, 90.00° and 90.00°. The distinct sites, in fractional coordinates, are Sr at (0.000, 0.000, 0.166), Ag at (0.000, 0.000, 0.500), F at (0.000, 0.246, 0.336) and F at (0.000, 0.269, 0.000).

The calculation puts the volume at 15.8 A^3/atom. The calculation puts the energy relative to the lowest polymorph listed for this composition at 0.0 meV/atom. The formation energy (no corrections) is -283.5 kJ/mol of atoms.